Record 1
Density functional theory data (meta-GGA SCAN) for a crystal of SrMnN2 relaxed with PBEsol.

Output
D(E_F) = 1.1 states/eV/f.u.
formation energy from raw total energies = -19.45 kcal/mol of atoms
crystal system = monoclinic

The structure in CIF format:
```
data_SrMnN2
_chemical_formula_sum 'Sr4 Mn4 N8'
_space_group_name_H-M_alt 'P 1 21/c 1'
_space_group_IT_number 14
_cell_length_a 5.8439
_cell_length_b 7.4000
_cell_length_c 5.7059
_cell_angle_alpha 90.00
_cell_angle_beta 113.77
_cell_angle_gamma 90.00
loop_
_space_group_symop_operation_xyz
'x,y,z'
'-x,-y,-z'
'-x,y+1/2,-z+1/2'
'x,-y+1/2,z+1/2'
loop_
_atom_site_label
_atom_site_type_symbol
_atom_site_fract_x
_atom_site_fract_y
_atom_site_fract_z
Sr1 Sr 0.1815 0.0680 0.3224
Mn1 Mn 0.3948 0.6341 0.4209
N1 N 0.2636 0.0888 0.9129
N2 N 0.3235 0.7158 0.1152
```


Record 2
Density functional theory data (meta-GGA SCAN) for a crystal of CaCuTe2N relaxed with PBEsol.

Output
D(E_F) = 2.3 states/eV/f.u.
formation energy from raw total energies = -0.22 kcal/mol of atoms
crystal system = tetragonal

The structure in CIF format:
```
data_CaCuTe2N
_chemical_formula_sum 'Ca1 Cu1 Te2 N1'
_space_group_name_H-M_alt 'P 4/m m m'
_space_group_IT_number 123
_space_group_name_Hall '-P 4 2'
_cell_length_a 5.4873
_cell_length_b 5.4873
_cell_length_c 3.5894
_cell_angle_alpha 90.00
_cell_angle_beta 90.00
_cell_angle_gamma 90.00
loop_
_atom_site_label
_atom_site_type_symbol
_atom_site_fract_x
_atom_site_fract_y
_atom_site_fract_z
Ca1 Ca 0.0000 0.0000 0.0000
Cu1 Cu 0.5000 0.5000 0.5000
Te1 Te 0.0000 0.5000 0.5000
N1 N 0.5000 0.5000 0.0000
```


Record 3
Density functional theory data (meta-GGA SCAN) for a crystal of CaLaPb2 relaxed with PBEsol.

Output
D(E_F) = 1.8 states/eV/f.u.
crystal system = orthorhombic
formation energy from the elements = -782.4 meV per atom

The structure in CIF format:
```
data_CaLaPb2
_chemical_formula_sum 'Ca1 La1 Pb2'
_space_group_name_H-M_alt 'P m m m'
_space_group_IT_number 47
_cell_length_a 3.5224
_cell_length_b 4.5316
_cell_length_c 7.3173
_cell_angle_alpha 90.00
_cell_angle_beta 90.00
_cell_angle_gamma 90.00
loop_
_space_group_symop_operation_xyz
'x,y,z'
'-x,-y,-z'
'-x,-y,z'
'x,y,-z'
'x,-y,-z'
'-x,y,z'
'-x,y,-z'
'x,-y,z'
loop_
_atom_site_label
_atom_site_type_symbol
_atom_site_fract_x
_atom_site_fract_y
_atom_site_fract_z
Ca1 Ca 0.0000 0.0000 0.0000
La1 La 0.0000 0.0000 0.5000
Pb1 Pb 0.5000 0.5000 0.2384
```


Record 4
Density functional theory data (meta-GGA SCAN) for a crystal of SiRu relaxed with PBEsol.

Output
D(E_F) = 1.2 states/eV/f.u.
formation energy from raw total energies = -10.96 kcal/mol of atoms
crystal system = monoclinic

The structure in CIF format:
```
data_SiRu
_chemical_formula_sum 'Si6 Ru6'
_space_group_name_H-M_alt 'C 1 2/m 1'
_space_group_IT_number 12
_cell_length_a 11.3094
_cell_length_b 2.8068
_cell_length_c 5.1011
_cell_angle_alpha 90.00
_cell_angle_beta 107.15
_cell_angle_gamma 90.00
loop_
_space_group_symop_operation_xyz
'x,y,z'
'-x,-y,-z'
'-x,y,-z'
'x,-y,z'
'x+1/2,y+1/2,z'
'-x+1/2,-y+1/2,-z'
'-x+1/2,y+1/2,-z'
'x+1/2,-y+1/2,z'
loop_
_atom_site_label
_atom_site_type_symbol
_atom_site_fract_x
_atom_site_fract_y
_atom_site_fract_z
Si1 Si 0.0000 0.0000 0.0000
Si2 Si 0.1668 0.5000 0.7980
Ru1 Ru 0.0000 0.0000 0.5000
Ru2 Ru 0.1683 0.5000 0.2770
```


Record 5
Density functional theory data (meta-GGA SCAN) for a crystal of ScNi2Os2 relaxed with PBEsol.

Output
D(E_F) = 4.3 states/eV/f.u.
crystal system = tetragonal
formation energy from the elements = 34.8 meV per atom

The structure in CIF format:
```
data_ScNi2Os2
_chemical_formula_sum 'Sc2 Ni4 Os4'
_space_group_name_H-M_alt 'I 4/m m m'
_space_group_IT_number 139
_space_group_name_Hall '-I 4 2'
_cell_length_a 3.8173
_cell_length_b 3.8173
_cell_length_c 10.4526
_cell_angle_alpha 90.00
_cell_angle_beta 90.00
_cell_angle_gamma 90.00
loop_
_atom_site_label
_atom_site_type_symbol
_atom_site_fract_x
_atom_site_fract_y
_atom_site_fract_z
Sc1 Sc 0.0000 0.0000 0.0000
Ni1 Ni 0.0000 0.5000 0.2500
Os1 Os 0.0000 0.0000 0.3909
```


Record 6
Density functional theory data (meta-GGA SCAN) for a crystal of SrIrPt2 relaxed with PBEsol.

Output
D(E_F) = 3.1 states/eV/f.u.
crystal system = tetragonal
formation energy from the elements = -19.4 meV per atom
energy above the most stable polymorph in this dataset = 0.000 eV/atom

The structure in CIF format:
```
data_SrIrPt2
_chemical_formula_sum 'Sr1 Ir1 Pt2'
_space_group_name_H-M_alt 'P 4/m m m'
_space_group_IT_number 123
_space_group_name_Hall '-P 4 2'
_cell_length_a 4.1264
_cell_length_b 4.1264
_cell_length_c 4.0846
_cell_angle_alpha 90.00
_cell_angle_beta 90.00
_cell_angle_gamma 90.00
loop_
_atom_site_label
_atom_site_type_symbol
_atom_site_fract_x
_atom_site_fract_y
_atom_site_fract_z
Sr1 Sr 0.0000 0.0000 0.0000
Ir1 Ir 0.5000 0.5000 0.0000
Pt1 Pt 0.0000 0.5000 0.5000
```


Record 7
Density functional theory data (meta-GGA SCAN) for a crystal of Sr2RePt relaxed with PBEsol.

Output
D(E_F) = 2.6 states/eV/f.u.
crystal system = orthorhombic
formation energy from the elements = 133.1 meV per atom
energy above the most stable polymorph in this dataset = 0.000 eV/atom

The structure in CIF format:
```
data_Sr2RePt
_chemical_formula_sum 'Sr4 Re2 Pt2'
_space_group_name_H-M_alt 'I m m 2'
_space_group_IT_number 44
_cell_length_a 4.3212
_cell_length_b 5.1720
_cell_length_c 9.4277
_cell_angle_alpha 90.00
_cell_angle_beta 90.00
_cell_angle_gamma 90.00
loop_
_space_group_symop_operation_xyz
'x,y,z'
'-x,-y,z'
'-x,y,z'
'x,-y,z'
'x+1/2,y+1/2,z+1/2'
'-x+1/2,-y+1/2,z+1/2'
'-x+1/2,y+1/2,z+1/2'
'x+1/2,-y+1/2,z+1/2'
loop_
_atom_site_label
_atom_site_type_symbol
_atom_site_fract_x
_atom_site_fract_y
_atom_site_fract_z
Sr1 Sr 0.0000 0.0000 0.0000
Sr2 Sr 0.0000 0.5000 0.2081
Re1 Re 0.0000 0.5000 0.8057
Pt1 Pt 0.0000 0.0000 0.4124
```


Record 8
Density functional theory data (meta-GGA SCAN) for a crystal of Sr3CaI8 relaxed with PBEsol.

Output
D(E_F) = 0.0 states/eV/f.u.
formation energy from raw total energies = -40.60 kcal/mol of atoms
crystal system = tetragonal

The structure in CIF format:
```
data_Sr3CaI8
_chemical_formula_sum 'Sr6 Ca2 I16'
_space_group_name_H-M_alt 'I 4/m m m'
_space_group_IT_number 139
_space_group_name_Hall '-I 4 2'
_cell_length_a 7.8473
_cell_length_b 7.8473
_cell_length_c 15.6966
_cell_angle_alpha 90.00
_cell_angle_beta 90.00
_cell_angle_gamma 90.00
loop_
_atom_site_label
_atom_site_type_symbol
_atom_site_fract_x
_atom_site_fract_y
_atom_site_fract_z
Sr1 Sr 0.0000 0.0000 0.0000
Sr2 Sr 0.0000 0.5000 0.2500
Ca1 Ca 0.0000 0.0000 0.5000
I1 I 0.2464 0.2464 0.3766
```